# 1
Rb2LiNdF6 | PBEsol | optimized geometry

## Properties
For the formation energy without anion corrections, the calculation gives -3.28 eV/atom.

Cell lengths 6.123, 6.123, 6.123 Å; angles 60.00, 60.00, 60.00 degrees
Positions (direct):
Rb 0.750 0.750 0.750
Rb 0.250 0.250 0.250
Li 0.500 0.500 0.500
Nd 0.000 0.000 0.000
F 0.740 0.260 0.260
F 0.740 0.740 0.260
F 0.260 0.740 0.740
F 0.740 0.260 0.740
F 0.260 0.740 0.260
F 0.260 0.260 0.740

=====

# 2
BeAgCl2 | PBEsol | optimized geometry

## Properties
The calculation puts the energy relative to the lowest polymorph listed for this composition at 20 meV per atom. For the formation energy without anion corrections, the calculation gives -0.39 eV/atom.

Cell lengths 2.942, 3.255, 9.607 Å; angles 96.73, 90.00, 90.00 degrees
Positions (direct):
Be 0.500 0.500 0.000
Ag 0.500 0.000 0.500
Cl 0.000 0.621 0.858
Cl 0.000 0.379 0.142

=====

# 3
InFeP4 | PBEsol | optimized geometry

## Properties
The total energy is -31.09 eV per cell.

Cell lengths 5.109, 5.109, 5.109 Å; angles 60.00, 60.00, 60.00 degrees
Last column: magnetic moment on the atom in μB.
Positions (direct):
Fe 0.750 0.750 0.750  2.97
In 0.000 0.000 0.000  -0.01
P 0.378 0.378 0.378  0.01
P 0.378 0.378 0.866  0.01
P 0.866 0.378 0.378  0.01
P 0.378 0.866 0.378  0.01

=====

# 4
IrPtCl2 | PBEsol | optimized geometry

## Properties
The calculation puts the energy relative to the lowest polymorph listed for this composition at 0 meV per atom. For the formation energy without anion corrections, the calculation gives 0.02 eV/atom.

Cell lengths 3.679, 3.679, 6.902 Å; angles 74.54, 74.54, 60.00 degrees
Positions (direct):
Ir 0.501 0.501 0.496
Pt 0.242 0.242 0.274
Cl 0.972 0.972 0.084
Cl 0.785 0.785 0.646

=====

# 5
Fe2SiBr | PBEsol | optimized geometry

## Properties
The calculation puts the energy relative to the lowest polymorph listed for this composition at 439 meV per atom. For the formation energy without anion corrections, the calculation gives 0.58 eV/atom.

Cell lengths 2.851, 3.882, 5.209 Å; angles 90.00, 90.00, 90.00 degrees
Last column: magnetic moment on the atom in μB.
Positions (direct):
Br 0.000 0.500 0.500  0.09
Fe 0.000 0.000 0.000  1.82
Fe 0.500 0.000 0.500  2.47
Si 0.500 0.500 0.000  -0.07

=====

# 6
Mn2Ir3 | PBEsol | optimized geometry

## Properties
The total energy is -47.88 eV per cell.

Cell lengths 4.041, 4.041, 5.063 Å; angles 90.00, 90.00, 120.00 degrees
Last column: magnetic moment on the atom in μB.
Positions (direct):
Ir 0.000 0.000 0.000  0.14
Ir 0.333 0.667 0.342  -0.05
Ir 0.667 0.333 0.658  -0.05
Mn 0.333 0.667 0.824  2.54
Mn 0.667 0.333 0.176  2.54